The following is a PBE-GGA calculation of ZrSe2NCl after structural relaxation, from the Alexandria database.

```
ZrSe2NCl
1.0
-5.047 -0.447 -1.616
-0.585 -4.333 3.027
-1.247 2.420 3.223
N Se Zr Cl
1 2 1 1
direct
0.000 0.000 0.500 N
0.000 0.500 0.000 Se
0.500 0.000 0.000 Se
0.000 0.000 0.000 Zr
0.500 0.500 0.500 Cl
```

## Properties
- relative energy among the computed polymorphs (meV/atom) = 0
- formation energy without anion corrections (kcal/mol of atoms) = 3.49

The following is a PBE-GGA calculation of ZrSeN2Cl after structural relaxation, from the Alexandria database.

```
ZrSeN2Cl
1.0
-2.401 0.270 3.175
3.025 -1.059 2.377
1.165 4.453 0.502
N Se Zr Cl
2 1 1 1
direct
0.000 0.500 0.000 N
0.500 0.000 0.000 N
0.000 0.000 0.500 Se
0.500 0.500 0.500 Zr
0.000 0.000 0.000 Cl
```

## Properties
- relative energy among the computed polymorphs (meV/atom) = 882
- formation energy without anion corrections (kcal/mol of atoms) = 32.80

The following is a PBE-GGA calculation of SiNCl after structural relaxation, from the Alexandria database.

```
SiNCl
1.0
-3.931 -2.503 1.544
2.547 -1.037 4.802
-3.289 7.199 3.298
Si N Cl
4 4 4
direct
0.006 0.097 0.078 Si
0.506 0.903 0.922 Si
0.006 0.597 0.922 Si
0.506 0.403 0.078 Si
0.162 0.372 0.034 N
0.662 0.628 0.966 N
0.162 0.872 0.966 N
0.662 0.128 0.034 N
0.061 0.014 0.308 Cl
0.561 0.986 0.692 Cl
0.061 0.514 0.692 Cl
0.561 0.486 0.308 Cl
```

## Properties
- formation energy without anion corrections (kcal/mol of atoms) = -27.08

The following is a PBE-GGA calculation of SiN2Cl after structural relaxation, from the Alexandria database.

```
SiN2Cl
1.0
0.335 -1.544 3.581
-3.110 -1.634 1.725
-0.158 -3.881 0.480
Si N Cl
1 2 1
direct
0.000 0.000 0.000 Si
0.250 0.250 0.250 N
0.750 0.750 0.750 N
0.500 0.500 0.500 Cl
```

## Properties
- relative energy among the computed polymorphs (meV/atom) = 1995
- formation energy without anion corrections (kcal/mol of atoms) = 51.52

The following is a PBE-GGA calculation of SiNCl3 after structural relaxation, from the Alexandria database.

```
SiNCl3
1.0
-2.181 2.448 3.445
-3.646 -3.050 -0.142
2.136 -2.706 3.275
Si Cl N
1 3 1
direct
0.000 0.000 0.000 Si
0.000 0.500 0.000 Cl
0.000 0.000 0.500 Cl
0.500 0.000 0.000 Cl
0.500 0.500 0.500 N
```

## Properties
- relative energy among the computed polymorphs (meV/atom) = 0
- formation energy without anion corrections (kcal/mol of atoms) = 13.29

The following is a PBE-GGA calculation of SiNCl3 after structural relaxation, from the Alexandria database.

```
SiNCl3
1.0
4.452 0.000 0.000
0.000 4.452 0.000
0.000 0.000 4.452
Si Cl N
1 3 1
direct
0.500 0.500 0.500 Si
0.000 0.500 0.000 Cl
0.000 0.000 0.500 Cl
0.500 0.000 0.000 Cl
0.000 0.000 0.000 N
```

## Properties
- relative energy among the computed polymorphs (meV/atom) = 465
- formation energy without anion corrections (kcal/mol of atoms) = 24.01

The following is a PBE-GGA calculation of SiN2Cl after structural relaxation, from the Alexandria database.

```
SiN2Cl
1.0
1.252 0.214 5.820
3.525 2.600 4.037
-0.018 3.577 4.763
Si N Cl
1 2 1
direct
0.000 0.000 0.000 Si
0.900 0.900 0.900 N
0.100 0.100 0.100 N
0.500 0.500 0.500 Cl
```

## Properties
- relative energy among the computed polymorphs (meV/atom) = 1550
- formation energy without anion corrections (kcal/mol of atoms) = 41.26

The following is a PBE-GGA calculation of Si3NCl after structural relaxation, from the Alexandria database.

```
Si3NCl
1.0
4.345 0.000 0.000
0.000 4.345 0.000
0.000 0.000 4.345
Si N Cl
3 1 1
direct
0.000 0.500 0.000 Si
0.000 0.000 0.500 Si
0.500 0.000 0.000 Si
0.000 0.000 0.000 N
0.500 0.500 0.500 Cl
```

## Properties
- relative energy among the computed polymorphs (meV/atom) = 0
- formation energy without anion corrections (kcal/mol of atoms) = 24.30